Compound: CaHfV2O8
Source: Alexandria
Functional: GGA+U
Structure: optimized geometry

Space group: I-4m2, No. 119
D(E_F) (states/eV per cell): 0.0
Final energy (eV per formula unit): -96.931

a = 5.8815 Å, b = 5.8815 Å, c = 5.8815 Å
α = 106.14°, β = 106.14°, γ = 116.35°
Sites, in units of the cell vectors:
Ca  0.2500  0.7500  0.5000
Hf  0.0000  0.0000  0.0000
V  0.7500  0.2500  0.5000
V  0.5000  0.5000  0.0000
O  0.3849  0.0844  0.3005
O  0.3071  0.4852  0.1781
O  0.3071  0.1289  0.8219
O  0.7839  0.0844  0.6995
O  0.8711  0.6929  0.1781
O  0.9156  0.2161  0.3005
O  0.9156  0.6151  0.6995
O  0.5148  0.6929  0.8219